1.
Al2CdSn: optimized geometry, PBE.

abc: 4.4265 4.4019 4.4019
angles: 90.00 90.00 90.00
Positions (direct):
Al  0.0000  0.0000  0.5000
Al  0.0000  0.5000  0.0000
Sn  0.5000  0.0000  0.0000
Cd  0.5000  0.5000  0.5000

Output
ΔH_f (0 K) ... 0.18 eV/atom
Total magnetic moment ... 0.00 μB/cell

=====

2.
Rb2NaTeF6: optimized geometry, PBE.

abc: 6.2952 6.2952 12.1636
angles: 75.00 75.00 60.00
Site moments in Bohr magnetons follow the coordinates.
Positions (direct):
Rb  0.8679  0.8679  0.3962  0.01
Rb  0.1321  0.1321  0.6038  0.01
Rb  0.7294  0.7294  0.8118  0.00
Rb  0.2706  0.2706  0.1882  0.00
Na  0.5945  0.5945  0.2166  0.00
Na  0.4055  0.4055  0.7834  0.00
Te  0.0000  0.0000  0.0000  0.00
Te  0.5000  0.5000  0.5000  0.81
F  0.8550  0.3981  0.3487  0.08
F  0.3981  0.8550  0.3487  0.08
F  0.3981  0.3981  0.3487  0.08
F  0.1450  0.6019  0.6513  0.08
F  0.6019  0.1450  0.6513  0.08
F  0.6019  0.6019  0.6513  0.08
F  0.7236  0.1909  0.8946  0.00
F  0.1909  0.7236  0.8946  0.00
F  0.1909  0.1909  0.8946  0.00
F  0.2764  0.8091  0.1054  0.00
F  0.8091  0.2764  0.1054  0.00
F  0.8091  0.8091  0.1054  0.00

Output
Polymorph energy (0 for the lowest one) ... 0 meV/atom
Uncorrected formation energy ... -23.42 eV/f.u.
Total magnetic moment ... 2.00 μB/cell

=====

3.
Y2Ga5Cu4: optimized geometry, PBE.

abc: 5.5070 5.4064 7.9977
angles: 79.90 69.86 59.38
Positions (direct):
Y  0.8603  0.0000  0.2794
Y  0.1397  0.0000  0.7206
Ga  0.5000  0.0000  0.0000
Ga  0.0000  0.5000  0.0000
Ga  0.5000  0.5000  0.0000
Ga  0.2500  0.5000  0.5000
Ga  0.7500  0.5000  0.5000
Cu  0.4951  0.2807  0.7292
Cu  0.5049  0.7193  0.2708
Cu  0.2242  0.2807  0.2708
Cu  0.7758  0.7193  0.7292

Output
ΔH_f (0 K) ... -0.34 eV/atom
Total magnetic moment ... 0.00 μB/cell

=====

4.
TlBRh3: optimized geometry, PBE.

abc: 3.7865 3.7865 6.6939
angles: 90.00 90.00 90.00
Positions (direct):
Tl  0.0000  0.0000  0.1090
B  0.5000  0.5000  0.5702
Rh  0.0000  0.0000  0.7148
Rh  0.5000  0.0000  0.4349
Rh  0.0000  0.5000  0.4349

Output
ΔH_f (0 K) ... 0.39 eV/atom
Total magnetic moment ... 0.00 μB/cell

=====

5.
Ce2YSb4: optimized geometry, PBE.

abc: 4.3324 4.3324 11.6938
angles: 90.00 90.00 90.00
Site moments in Bohr magnetons follow the coordinates.
Positions (direct):
Ce  0.5000  0.0000  0.7126  0.83
Ce  0.0000  0.5000  0.2874  0.83
Y  0.5000  0.5000  0.0000  0.19
Sb  0.5000  0.0000  0.1847  -0.04
Sb  0.0000  0.5000  0.8153  -0.04
Sb  0.5000  0.5000  0.5000  -0.01
Sb  0.0000  0.0000  0.5000  -0.01

Output
Uncorrected formation energy ... -5.55 eV/f.u.
Total magnetic moment ... 2.31 μB/cell

=====

6.
DyB2Ir2: optimized geometry, PBE.

abc: 5.4918 5.4917 6.1716
angles: 104.69 104.69 115.46
Positions (direct):
B  0.8064  0.1936  0.7500
B  0.5567  0.4433  0.2500
B  0.4433  0.5567  0.7500
B  0.1936  0.8064  0.2500
Ir  0.7529  0.5028  0.0057
Ir  0.5028  0.7529  0.5057
Ir  0.2471  0.4972  0.9943
Ir  0.4972  0.2471  0.4943
Dy  0.1249  0.8751  0.7500
Dy  0.8751  0.1249  0.2500

Output
ΔH_f (0 K) ... -0.73 eV/atom
Total magnetic moment ... 0.00 μB/cell

=====

7.
Zr3Tc2Sn3Rh: optimized geometry, PBE.

abc: 3.5115 7.5802 7.5802
angles: 120.00 90.00 90.00
Positions (direct):
Zr  0.0000  0.6003  0.6003
Zr  0.0000  0.0000  0.3997
Zr  0.0000  0.3997  0.0000
Tc  0.5000  0.6667  0.3333
Tc  0.5000  0.3333  0.6667
Sn  0.5000  0.7296  0.0000
Sn  0.5000  0.0000  0.7296
Sn  0.5000  0.2704  0.2704
Rh  0.0000  0.0000  0.0000

Output
ΔH_f (0 K) ... -0.48 eV/atom
Total magnetic moment ... 0.00 μB/cell

=====

8.
MgZnTe2: optimized geometry, PBE.

abc: 7.7547 8.9851 7.3453
angles: 90.00 90.00 90.00
Positions (direct):
Zn  0.0806  0.8746  0.9992
Zn  0.9194  0.1254  0.4992
Zn  0.4194  0.3746  0.4992
Zn  0.5806  0.6254  0.9992
Te  0.4087  0.8666  0.1164
Te  0.5913  0.1334  0.6164
Te  0.0913  0.3666  0.6164
Te  0.9087  0.6334  0.1164
Te  0.0736  0.8823  0.6337
Te  0.9264  0.1177  0.1337
Te  0.4264  0.3823  0.1337
Te  0.5736  0.6177  0.6337
Mg  0.0869  0.3768  0.0005
Mg  0.9131  0.6232  0.5005
Mg  0.4131  0.8768  0.5005
Mg  0.5869  0.1232  0.0005

Output
Uncorrected formation energy ... -2.64 eV/f.u.
Total magnetic moment ... 0.00 μB/cell